No. 1
Density functional theory data (PBE) for crystalline LiHoPbS3 at its relaxed geometry.

The space group is Cmcm (No. 63) and the conventional cell measures 3.9725, 12.9195 and 10.2812 Å, with angles of 90.00, 90.00 and 90.00 degrees. The distinct sites, in fractional coordinates, are Li at (0.0000, 0.0277, 0.2500), Ho at (0.0000, 0.5000, 0.0000), Pb at (0.0000, 0.2489, 0.7500), S at (0.0000, 0.1351, 0.0652) and S at (0.0000, 0.4241, 0.2500).

The value obtained for the total DFT energy (no corrections) is -30.640 eV/f.u. The calculation puts the total moment at 0.0 μB per cell. For the distance to the lowest polymorph of the same formula, the calculation gives 0.26 eV per formula unit.

No. 2
Density functional theory data (PBE) for crystalline LuGa at its relaxed geometry.

The space group is P-6m2 (No. 187) and the conventional cell measures 3.4586, 3.4586 and 4.5231 Å, with angles of 90.00, 90.00 and 120.00 degrees. The distinct sites, in fractional coordinates, are Lu at (0.0000, 0.0000, 0.0000) and Ga at (0.3333, 0.6667, 0.5000).

The value obtained for the total DFT energy (no corrections) is -8.158 eV/f.u. The calculation puts the total moment at 0.1 μB per cell.

No. 3
Density functional theory data (PBE) for crystalline Sc2NbO4 at its relaxed geometry.

The space group is Fd-3m (No. 227, origin choice 2) and the conventional cell measures 8.9363, 8.9363 and 8.9363 Å, with angles of 90.00, 90.00 and 90.00 degrees. The distinct sites, in fractional coordinates, are Sc at (0.0000, 0.0000, 0.0000), Nb at (0.1250, 0.1250, 0.6250) and O at (0.0117, 0.0117, 0.2383).

The value obtained for the total DFT energy (no corrections) is -61.087 eV/f.u. The calculation puts the total moment at 21.1 μB per cell.

No. 4
Density functional theory data (PBE) for crystalline GdYSn2Pd4 at its relaxed geometry.

The space group is P-6m2 (No. 187) and the conventional cell measures 4.5913, 4.5913 and 8.9989 Å, with angles of 90.00, 90.00 and 120.00 degrees. The distinct sites, in fractional coordinates, are Gd at (0.0000, 0.0000, 0.0000), Y at (0.6667, 0.3333, 0.5000), Sn at (0.3333, 0.6667, 0.2517), Pd at (0.0000, 0.0000, 0.3355) and Pd at (0.6667, 0.3333, 0.1655).

The value obtained for the total DFT energy (no corrections) is -46.914 eV/f.u. The calculation puts the total moment at 0.0 μB per cell.